[1]
Entry from the Alexandria database: a geometry-optimized K2PaI2Br4 structure (GGA-PBE).

The uncorrected formation energy comes out at -1492 meV/atom. As for the space-group type: C2/m (12).

Unit cell a=8.170 b=8.120 c=8.120 alpha=58.48 beta=61.98 gamma=61.98
Element x y z (fractional)
K1 0.295 0.750 0.750
K2 0.705 0.250 0.250
Pa1 0.500 0.000 0.000
I1 0.151 0.242 0.242
I2 0.849 0.758 0.758
Br1 0.326 0.693 0.188
Br2 0.674 0.812 0.307
Br3 0.674 0.307 0.812
Br4 0.326 0.188 0.693



[2]
Entry from the Alexandria database: a geometry-optimized KPbI2Br structure (GGA-PBE).

The uncorrected formation energy comes out at -1077 meV/atom. As for the space-group type: Cmcm (63). The calculation puts the offset from the most stable computed form at 0.00 eV/f.u.

Unit cell a=4.702 b=8.088 c=11.342 alpha=90.00 beta=90.00 gamma=106.90
Element x y z (fractional)
K1 0.272 0.544 0.750
K2 0.728 0.456 0.250
Pb1 0.000 0.000 0.500
Pb2 0.000 0.000 0.000
I1 0.640 0.281 0.558
I2 0.360 0.719 0.442
I3 0.360 0.719 0.058
I4 0.640 0.281 0.942
Br1 0.925 0.849 0.750
Br2 0.075 0.151 0.250



[3]
Entry from the Alexandria database: a geometry-optimized KPbI2Br structure (GGA-PBE).

The uncorrected formation energy comes out at -985 meV/atom. As for the space-group type: P4/mmm (123). The calculation puts the offset from the most stable computed form at 0.46 eV/f.u.

Unit cell a=6.370 b=6.370 c=5.920 alpha=90.00 beta=90.00 gamma=90.00
Element x y z (fractional)
Pb1 0.000 0.000 0.000
I1 0.000 0.500 0.000
I2 0.500 0.000 0.000
K1 0.500 0.500 0.500
Br1 0.000 0.000 0.500



[4]
Entry from the Alexandria database: a geometry-optimized KPdI2Br6 structure (GGA-PBE).

The uncorrected formation energy comes out at -435 meV/atom. As for the space-group type: P1 (1).

Unit cell a=8.487 b=8.317 c=8.602 alpha=73.25 beta=120.92 gamma=120.30
Element x y z (fractional)
K1 0.441 0.880 0.498
Pd1 0.982 0.947 0.989
I1 0.255 0.559 0.136
I2 0.390 0.410 0.753
Br1 0.679 0.981 0.924
Br2 0.295 0.925 0.042
Br3 0.946 0.727 0.246
Br4 0.232 0.217 0.245
Br5 0.746 0.655 0.747
Br6 0.999 0.177 0.723



[5]
Entry from the Alexandria database: a geometry-optimized K2PdIBr6 structure (GGA-PBE).

The uncorrected formation energy comes out at -783 meV/atom. As for the space-group type: P2_1/c (14).

Unit cell a=7.612 b=7.835 c=11.950 alpha=90.00 beta=87.76 gamma=90.00
Element x y z (fractional)
K1 0.024 0.947 0.259
K2 0.524 0.553 0.759
K3 0.976 0.053 0.741
K4 0.476 0.447 0.241
Pd1 0.500 0.000 0.500
Pd2 0.000 0.500 0.000
I1 0.500 0.000 0.000
I2 0.000 0.500 0.500
Br1 0.254 0.715 0.032
Br2 0.754 0.785 0.532
Br3 0.746 0.285 0.968
Br4 0.246 0.215 0.468
Br5 0.288 0.748 0.458
Br6 0.788 0.752 0.958
Br7 0.712 0.252 0.542
Br8 0.212 0.248 0.042
Br9 0.923 0.517 0.206
Br10 0.423 0.983 0.706
Br11 0.077 0.483 0.794
Br12 0.577 0.017 0.294



[6]
Entry from the Alexandria database: a geometry-optimized KPdI2Br structure (GGA-PBE).

The uncorrected formation energy comes out at -719 meV/atom. As for the space-group type: P4/mmm (123).

Unit cell a=5.608 b=5.608 c=5.294 alpha=90.00 beta=90.00 gamma=90.00
Element x y z (fractional)
I1 0.000 0.500 0.000
I2 0.500 0.000 0.000
K1 0.500 0.500 0.500
Br1 0.000 0.000 0.500
Pd1 0.000 0.000 0.000



[7]
Entry from the Alexandria database: a geometry-optimized K2PtI2Br4 structure (GGA-PBE).

The uncorrected formation energy comes out at -887 meV/atom. As for the space-group type: I4/mmm (139).

Unit cell a=7.678 b=7.678 c=7.678 alpha=89.79 beta=120.12 gamma=120.12
Element x y z (fractional)
K1 0.500 0.750 0.250
K2 0.500 0.250 0.750
Pt1 0.000 0.000 0.000
I1 0.000 0.752 0.752
I2 0.000 0.248 0.248
Br1 0.000 0.768 0.232
Br2 0.537 0.768 0.768
Br3 0.000 0.232 0.768
Br4 0.463 0.232 0.232



[8]
Entry from the Alexandria database: a geometry-optimized KPtIBr2 structure (GGA-PBE).

The uncorrected formation energy comes out at -666 meV/atom. As for the space-group type: P4/mmm (123).

Unit cell a=5.288 b=5.288 c=5.560 alpha=90.00 beta=90.00 gamma=90.00
Element x y z (fractional)
I1 0.000 0.000 0.500
K1 0.500 0.500 0.500
Br1 0.000 0.500 0.000
Br2 0.500 0.000 0.000
Pt1 0.000 0.000 0.000



[9]
Entry from the Alexandria database: a geometry-optimized K2PtIBr6 structure (GGA-PBE).

The uncorrected formation energy comes out at -791 meV/atom. As for the space-group type: P1 (1).

Unit cell a=7.754 b=7.797 c=8.822 alpha=59.36 beta=58.90 gamma=63.26
Element x y z (fractional)
K1 0.537 0.509 0.408
K2 0.022 0.025 0.921
Pt1 0.325 0.328 0.026
I1 0.825 0.834 0.532
Br1 0.537 0.193 0.221
Br2 0.167 0.009 0.246
Br3 0.045 0.536 0.229
Br4 0.487 0.644 0.776
Br5 0.603 0.119 0.826
Br6 0.112 0.464 0.831



[10]
Entry from the Alexandria database: a geometry-optimized K2Pu2I2Br5 structure (GGA-PBE).

The uncorrected formation energy comes out at -1483 meV/atom. As for the space-group type: I4/mmm (139).

Unit cell a=5.818 b=5.818 c=15.359 alpha=100.92 beta=100.92 gamma=90.00
Element x y z (fractional)
K1 0.323 0.323 0.646
K2 0.677 0.677 0.354
Pu1 0.097 0.097 0.195
Pu2 0.903 0.903 0.805
I1 0.204 0.204 0.408
I2 0.796 0.796 0.592
Br1 0.000 0.000 0.000
Br2 0.605 0.105 0.211
Br3 0.895 0.395 0.789
Br4 0.105 0.605 0.211
Br5 0.395 0.895 0.789



[11]
Entry from the Alexandria database: a geometry-optimized K2PuI4Br2 structure (GGA-PBE).

The uncorrected formation energy comes out at -1269 meV/atom. As for the space-group type: C2/m (12).

Unit cell a=8.275 b=8.283 c=8.283 alpha=60.88 beta=58.57 gamma=58.57
Element x y z (fractional)
K1 0.244 0.759 0.759
K2 0.756 0.241 0.241
Pu1 0.500 0.000 0.000
I1 0.302 0.699 0.202
I2 0.698 0.798 0.301
I3 0.698 0.301 0.798
I4 0.302 0.202 0.699
Br1 0.167 0.234 0.234
Br2 0.833 0.766 0.766



[12]
Entry from the Alexandria database: a geometry-optimized KPuIBr2 structure (GGA-PBE).

The uncorrected formation energy comes out at -1370 meV/atom. As for the space-group type: P4mm (99).

Unit cell a=5.854 b=5.854 c=6.417 alpha=90.00 beta=90.00 gamma=90.00
Element x y z (fractional)
K1 0.500 0.500 0.655
Pu1 0.000 0.000 0.986
I1 0.000 0.000 0.477
Br1 0.000 0.500 0.941
Br2 0.500 0.000 0.941



Number 2 is which compound? KPbI2Br



What is the formula in the sixth record? KPdI2Br